Ca2TaCl after structural relaxation. Source: Alexandria, functional GGA-PBE.

Lattice parameters (Å, degrees): 6.2225 6.2225 5.5977 110.52 110.52 29.86
Sites, in units of the cell vectors:
Ca (0.0000, 0.0000, 0.0000)
Ca (0.1898, 0.1898, 0.6526)
Ta (0.7616, 0.7616, 0.1992)
Cl (0.4502, 0.4502, 0.4526)

## Properties
Uncorrected formation energy: 63.4 meV/atom
Crystal system: monoclinic
Space-group type: Cm (8)